1.
! PBE Dy5Er3Se8, relaxed; values from VASP
! * space group: R-3m
! * energy relative to the elements, uncorrected: -39.73 kcal/mol of atoms
&SYSTEM
  ibrav = 0, nat = 16, ntyp = 3
/
ATOMIC_SPECIES
Dy 162.50 Dy.upf
Er 167.26 Er.upf
Se 78.96 Se.upf
CELL_PARAMETERS angstrom
4.0590 2.3435 6.6390
-4.0590 2.3435 6.6390
0.0000 -4.6869 6.6390
ATOMIC_POSITIONS crystal
Dy 0.0000 0.0000 0.0000
Dy 0.0000 0.5000 0.5000
Dy 0.5000 0.0000 0.5000
Dy 0.5000 0.5000 0.0000
Dy 0.5000 0.5000 0.5000
Er 0.0000 0.0000 0.5000
Er 0.0000 0.5000 0.0000
Er 0.5000 0.0000 0.0000
Se 0.2473 0.7500 0.7500
Se 0.2487 0.2487 0.2487
Se 0.2500 0.2500 0.7527
Se 0.2500 0.7527 0.2500
Se 0.7500 0.2473 0.7500
Se 0.7500 0.7500 0.2473
Se 0.7513 0.7513 0.7513
Se 0.7527 0.2500 0.2500

***

2.
! PBE CaTm3Ga2, relaxed; values from VASP
! * formation energy from the elements: -230 kJ/mol of formula units
! * space group: Pmc2_1
&SYSTEM
  ibrav = 0, nat = 12, ntyp = 3
/
ATOMIC_SPECIES
Ca 40.08 Ca.upf
Tm 168.93 Tm.upf
Ga 69.72 Ga.upf
CELL_PARAMETERS angstrom
5.0220 0.0000 0.0000
0.0000 9.0692 0.0000
0.0000 0.0000 6.6498
ATOMIC_POSITIONS crystal
Ca 0.0000 0.0447 0.0000
Ca 0.0000 0.9553 0.5000
Tm 0.0000 0.3257 0.6679
Tm 0.0000 0.6743 0.1679
Tm 0.5000 0.1765 0.2968
Tm 0.5000 0.4590 0.9661
Tm 0.5000 0.5410 0.4661
Tm 0.5000 0.8235 0.7968
Ga 0.0000 0.3519 0.2119
Ga 0.0000 0.6481 0.7119
Ga 0.5000 0.1576 0.7491
Ga 0.5000 0.8424 0.2491

***

3.
! PBE CaRe, relaxed; values from VASP
! * energy above the lowest structure with this stoichiometry: 183 meV/atom
! * formation energy from the elements: 94 kJ/mol of formula units
! * space group: Imma
&SYSTEM
  ibrav = 0, nat = 4, ntyp = 2
/
ATOMIC_SPECIES
Ca 40.08 Ca.upf
Re 186.21 Re.upf
CELL_PARAMETERS angstrom
-1.8603 2.5871 4.8674
1.8603 -2.5871 4.8674
1.8603 2.5871 -4.8674
ATOMIC_POSITIONS crystal
Ca 0.3607 0.1107 0.2500
Ca 0.6393 0.8893 0.7500
Re 0.0762 0.3262 0.7500
Re 0.9238 0.6738 0.2500

***

4.
! PBE Cs2In2Se3, relaxed; values from VASP
! * space group: P-1
! * energy relative to the elements, uncorrected: -18.44 kcal/mol of atoms
&SYSTEM
  ibrav = 0, nat = 7, ntyp = 3
/
ATOMIC_SPECIES
Cs 132.91 Cs.upf
In 114.82 In.upf
Se 78.96 Se.upf
CELL_PARAMETERS angstrom
4.5425 0.0000 0.0000
-2.2653 7.8844 0.0000
-2.2707 -2.7310 7.7555
ATOMIC_POSITIONS crystal
Cs 0.2110 0.1569 0.2644
Cs 0.7890 0.8431 0.7356
In 0.1057 0.4119 0.7983
In 0.8943 0.5881 0.2017
Se 0.0000 0.5000 0.5000
Se 0.4095 0.7399 0.0815
Se 0.5905 0.2601 0.9185

***

5.
! PBE Be2ZnInH, relaxed; values from VASP
! * space group: P4/mmm
! * total energy: -2.254 eV per atom
&SYSTEM
  ibrav = 0, nat = 5, ntyp = 4
/
ATOMIC_SPECIES
Be 9.01 Be.upf
Zn 65.41 Zn.upf
In 114.82 In.upf
H 1.01 H.upf
CELL_PARAMETERS angstrom
4.4640 0.0000 0.0000
0.0000 4.4640 0.0000
0.0000 0.0000 3.4971
ATOMIC_POSITIONS crystal
Be 0.0000 0.5000 0.0000
Be 0.5000 0.0000 0.0000
Zn 0.0000 0.0000 0.0000
In 0.5000 0.5000 0.5000
H 0.0000 0.0000 0.5000

***

6.
! PBE Cu3SbF, relaxed; values from VASP
! * energy above the lowest structure with this stoichiometry: 388 meV/atom
! * space group: Pm-3m
! * energy relative to the elements, uncorrected: 8.51 kcal/mol of atoms
&SYSTEM
  ibrav = 0, nat = 5, ntyp = 3
/
ATOMIC_SPECIES
Cu 63.55 Cu.upf
Sb 121.76 Sb.upf
F 19.00 F.upf
CELL_PARAMETERS angstrom
4.8611 0.0000 0.0000
0.0000 4.8611 0.0000
0.0000 0.0000 4.8611
ATOMIC_POSITIONS crystal
Cu 0.0000 0.0000 0.5000
Cu 0.0000 0.5000 0.0000
Cu 0.5000 0.0000 0.0000
Sb 0.0000 0.0000 0.0000
F 0.5000 0.5000 0.5000